1.
PAuBr2 | PBE | relaxed

Cell and atoms, written as CIF:
```
data_PAuBr2
_symmetry_space_group_name_H-M 'P m m m'
_symmetry_Int_Tables_number 47
_cell_length_a 3.572
_cell_length_b 4.090
_cell_length_c 7.450
_cell_angle_alpha 90.00
_cell_angle_beta 90.00
_cell_angle_gamma 90.00
loop_
_symmetry_equiv_pos_as_xyz
'x,y,z'
'-x,-y,-z'
'-x,-y,z'
'x,y,-z'
'x,-y,-z'
'-x,y,z'
'-x,y,-z'
'x,-y,z'
loop_
_atom_site_label
_atom_site_type_symbol
_atom_site_fract_x
_atom_site_fract_y
_atom_site_fract_z
_atom_site_occupancy
P1 P 0.000 0.000 0.000 1
Au1 Au 0.500 0.000 0.500 1
Br1 Br 0.000 0.500 0.500 1
Br2 Br 0.500 0.500 0.000 1
```

Calculated values
Crystal system: orthorhombic


2.
PAuBr2 | PBE | relaxed

Cell and atoms, written as CIF:
```
data_PAuBr2
_symmetry_space_group_name_H-M 'I m m m'
_symmetry_Int_Tables_number 71
_symmetry_space_group_name_Hall '-I 2 2'
_cell_length_a 3.362
_cell_length_b 4.303
_cell_length_c 14.913
_cell_angle_alpha 90.00
_cell_angle_beta 90.00
_cell_angle_gamma 90.00
loop_
_atom_site_label
_atom_site_type_symbol
_atom_site_fract_x
_atom_site_fract_y
_atom_site_fract_z
_atom_site_occupancy
P1 P 0.000 0.000 0.000 1
Au1 Au 0.000 0.000 0.500 1
Br1 Br 0.000 0.500 0.355 1
```

Calculated values
Crystal system: orthorhombic


3.
PAuBr2 | PBE | relaxed

Cell and atoms, written as CIF:
```
data_PAuBr2
_symmetry_space_group_name_H-M 'C 1 m 1'
_symmetry_Int_Tables_number 8
_cell_length_a 8.587
_cell_length_b 3.621
_cell_length_c 8.129
_cell_angle_alpha 90.00
_cell_angle_beta 98.87
_cell_angle_gamma 90.00
loop_
_symmetry_equiv_pos_as_xyz
'x,y,z'
'x,-y,z'
'x+1/2,y+1/2,z'
'x+1/2,-y+1/2,z'
loop_
_atom_site_label
_atom_site_type_symbol
_atom_site_fract_x
_atom_site_fract_y
_atom_site_fract_z
_atom_site_occupancy
P1 P 0.000 0.000 0.000 1
Au1 Au 0.362 0.000 0.845 1
Br1 Br 0.220 0.500 0.642 1
Br2 Br 0.399 0.500 0.237 1
```

Calculated values
Crystal system: monoclinic


4.
PAuBr2 | PBE | relaxed

Cell and atoms, written as CIF:
```
data_PAuBr2
_symmetry_space_group_name_H-M 'I -4 m 2'
_symmetry_Int_Tables_number 119
_symmetry_space_group_name_Hall 'I -4 -2'
_cell_length_a 3.837
_cell_length_b 3.837
_cell_length_c 15.343
_cell_angle_alpha 90.00
_cell_angle_beta 90.00
_cell_angle_gamma 90.00
loop_
_atom_site_label
_atom_site_type_symbol
_atom_site_fract_x
_atom_site_fract_y
_atom_site_fract_z
_atom_site_occupancy
P1 P 0.000 0.000 0.000 1
Au1 Au 0.000 0.500 0.750 1
Br1 Br 0.000 0.000 0.500 1
Br2 Br 0.000 0.500 0.250 1
```

Calculated values
Crystal system: tetragonal


It is 3 that is the most stable of them.


1.
PAuBr2 | PBE | relaxed

Cell and atoms, written as CIF:
```
data_PAuBr2
_symmetry_space_group_name_H-M 'R -3 m'
_symmetry_Int_Tables_number 166
_symmetry_space_group_name_Hall '-R 3 2"'
_cell_length_a 3.7366
_cell_length_b 3.7366
_cell_length_c 25.9655
_cell_angle_alpha 90.00
_cell_angle_beta 90.00
_cell_angle_gamma 120.00
loop_
_atom_site_label
_atom_site_type_symbol
_atom_site_fract_x
_atom_site_fract_y
_atom_site_fract_z
_atom_site_occupancy
P1 P 0.0000 0.0000 0.0000 1
Au1 Au 0.0000 0.0000 0.5000 1
Br1 Br 0.0000 0.0000 0.0950 1
```

Calculated values
Crystal system: trigonal


2.
PAuBr2 | PBE | relaxed

Cell and atoms, written as CIF:
```
data_PAuBr2
_symmetry_space_group_name_H-M 'F -4 3 m'
_symmetry_Int_Tables_number 216
_symmetry_space_group_name_Hall 'F -4 2 3'
_cell_length_a 6.980
_cell_length_b 6.980
_cell_length_c 6.980
_cell_angle_alpha 90.00
_cell_angle_beta 90.00
_cell_angle_gamma 90.00
loop_
_atom_site_label
_atom_site_type_symbol
_atom_site_fract_x
_atom_site_fract_y
_atom_site_fract_z
_atom_site_occupancy
P1 P 0.000 0.000 0.000 1
Au1 Au 0.250 0.250 0.250 1
Br1 Br 0.000 0.000 0.500 1
Br2 Br 0.250 0.250 0.750 1
```

Calculated values
Crystal system: cubic


3.
PAuBr2 | PBE | relaxed

Cell and atoms, written as CIF:
```
data_PAuBr2
_symmetry_space_group_name_H-M 'C 1 2/m 1'
_symmetry_Int_Tables_number 12
_cell_length_a 8.228
_cell_length_b 3.589
_cell_length_c 7.303
_cell_angle_alpha 90.00
_cell_angle_beta 103.23
_cell_angle_gamma 90.00
loop_
_symmetry_equiv_pos_as_xyz
'x,y,z'
'-x,-y,-z'
'-x,y,-z'
'x,-y,z'
'x+1/2,y+1/2,z'
'-x+1/2,-y+1/2,-z'
'-x+1/2,y+1/2,-z'
'x+1/2,-y+1/2,z'
loop_
_atom_site_label
_atom_site_type_symbol
_atom_site_fract_x
_atom_site_fract_y
_atom_site_fract_z
_atom_site_occupancy
P1 P 0.000 0.000 0.000 1
Au1 Au 0.000 0.500 0.500 1
Br1 Br 0.167 0.000 0.753 1
```

Calculated values
Crystal system: monoclinic


It is 1 that is the most stable of them.


1.
PAuBr2 | PBE | relaxed

Cell and atoms, written as CIF:
```
data_PAuBr2
_symmetry_space_group_name_H-M 'P 4 m m'
_symmetry_Int_Tables_number 99
_cell_length_a 3.305
_cell_length_b 3.305
_cell_length_c 8.819
_cell_angle_alpha 90.00
_cell_angle_beta 90.00
_cell_angle_gamma 90.00
loop_
_symmetry_equiv_pos_as_xyz
'x,y,z'
'-y,x,z'
'-x,-y,z'
'y,-x,z'
'-x,y,z'
'y,x,z'
'x,-y,z'
'-y,-x,z'
loop_
_atom_site_label
_atom_site_type_symbol
_atom_site_fract_x
_atom_site_fract_y
_atom_site_fract_z
_atom_site_occupancy
P1 P 0.000 0.000 0.000 1
Au1 Au 0.500 0.500 0.152 1
Br1 Br 0.000 0.000 0.379 1
Br2 Br 0.500 0.500 0.783 1
```

Calculated values
Crystal system: tetragonal


2.
PAuBr2 | PBE | relaxed

Cell and atoms, written as CIF:
```
data_PAuBr2
_symmetry_space_group_name_H-M 'C m m m'
_symmetry_Int_Tables_number 65
_symmetry_space_group_name_Hall '-C 2 2'
_cell_length_a 3.687
_cell_length_b 6.928
_cell_length_c 7.887
_cell_angle_alpha 90.00
_cell_angle_beta 90.00
_cell_angle_gamma 90.00
loop_
_atom_site_label
_atom_site_type_symbol
_atom_site_fract_x
_atom_site_fract_y
_atom_site_fract_z
_atom_site_occupancy
P1 P 0.000 0.000 0.000 1
Au1 Au 0.000 0.000 0.500 1
Br1 Br 0.000 0.500 0.243 1
```

Calculated values
Crystal system: orthorhombic


3.
PAuBr2 | PBE | relaxed

Cell and atoms, written as CIF:
```
data_PAuBr2
_symmetry_space_group_name_H-M 'I -4 2 d'
_symmetry_Int_Tables_number 122
_symmetry_space_group_name_Hall 'I -4 2bw'
_cell_length_a 5.127
_cell_length_b 5.127
_cell_length_c 16.230
_cell_angle_alpha 90.00
_cell_angle_beta 90.00
_cell_angle_gamma 90.00
loop_
_atom_site_label
_atom_site_type_symbol
_atom_site_fract_x
_atom_site_fract_y
_atom_site_fract_z
_atom_site_occupancy
P1 P 0.000 0.000 0.000 1
Au1 Au 0.000 0.000 0.500 1
Br1 Br 0.227 0.250 0.125 1
```

Calculated values
Crystal system: tetragonal


4.
PAuBr2 | PBE | relaxed

Cell and atoms, written as CIF:
```
data_PAuBr2
_symmetry_space_group_name_H-M 'P m m 2'
_symmetry_Int_Tables_number 25
_cell_length_a 3.350
_cell_length_b 3.670
_cell_length_c 8.627
_cell_angle_alpha 90.00
_cell_angle_beta 90.00
_cell_angle_gamma 90.00
loop_
_symmetry_equiv_pos_as_xyz
'x,y,z'
'-x,-y,z'
'-x,y,z'
'x,-y,z'
loop_
_atom_site_label
_atom_site_type_symbol
_atom_site_fract_x
_atom_site_fract_y
_atom_site_fract_z
_atom_site_occupancy
P1 P 0.000 0.000 0.000 1
Au1 Au 0.500 0.500 0.915 1
Br1 Br 0.000 0.000 0.256 1
Br2 Br 0.500 0.500 0.609 1
```

Calculated values
Crystal system: orthorhombic


It is 4 that is the most stable of them.


1.
PAuBr2 | PBE | relaxed

Cell and atoms, written as CIF:
```
data_PAuBr2
_symmetry_space_group_name_H-M 'C 1 2/m 1'
_symmetry_Int_Tables_number 12
_cell_length_a 7.668
_cell_length_b 7.687
_cell_length_c 3.330
_cell_angle_alpha 90.00
_cell_angle_beta 90.31
_cell_angle_gamma 90.00
loop_
_symmetry_equiv_pos_as_xyz
'x,y,z'
'-x,-y,-z'
'-x,y,-z'
'x,-y,z'
'x+1/2,y+1/2,z'
'-x+1/2,-y+1/2,-z'
'-x+1/2,y+1/2,-z'
'x+1/2,-y+1/2,z'
loop_
_atom_site_label
_atom_site_type_symbol
_atom_site_fract_x
_atom_site_fract_y
_atom_site_fract_z
_atom_site_occupancy
P1 P 0.000 0.000 0.000 1
Au1 Au 0.000 0.500 0.000 1
Br1 Br 0.250 0.250 0.000 1
```

Calculated values
Crystal system: monoclinic


2.
PAuBr2 | PBE | relaxed

Cell and atoms, written as CIF:
```
data_PAuBr2
_symmetry_space_group_name_H-M 'C m m 2'
_symmetry_Int_Tables_number 35
_cell_length_a 3.492
_cell_length_b 7.468
_cell_length_c 9.195
_cell_angle_alpha 90.00
_cell_angle_beta 90.00
_cell_angle_gamma 90.00
loop_
_symmetry_equiv_pos_as_xyz
'x,y,z'
'-x,-y,z'
'-x,y,z'
'x,-y,z'
'x+1/2,y+1/2,z'
'-x+1/2,-y+1/2,z'
'-x+1/2,y+1/2,z'
'x+1/2,-y+1/2,z'
loop_
_atom_site_label
_atom_site_type_symbol
_atom_site_fract_x
_atom_site_fract_y
_atom_site_fract_z
_atom_site_occupancy
P1 P 0.000 0.000 0.000 1
Au1 Au 0.000 0.500 0.825 1
Br1 Br 0.000 0.000 0.614 1
Br2 Br 0.000 0.500 0.220 1
```

Calculated values
Crystal system: orthorhombic


3.
PAuBr2 | PBE | relaxed

Cell and atoms, written as CIF:
```
data_PAuBr2
_symmetry_space_group_name_H-M 'P 1 m 1'
_symmetry_Int_Tables_number 6
_cell_length_a 6.235
_cell_length_b 3.602
_cell_length_c 6.362
_cell_angle_alpha 90.00
_cell_angle_beta 105.26
_cell_angle_gamma 90.00
loop_
_symmetry_equiv_pos_as_xyz
'x,y,z'
'x,-y,z'
loop_
_atom_site_label
_atom_site_type_symbol
_atom_site_fract_x
_atom_site_fract_y
_atom_site_fract_z
_atom_site_occupancy
P1 P 0.000 0.000 0.000 1
Au1 Au 0.044 0.500 0.763 1
Br1 Br 0.131 0.500 0.400 1
Br2 Br 0.634 0.000 0.955 1
```

Calculated values
Crystal system: monoclinic


4.
PAuBr2 | PBE | relaxed

Cell and atoms, written as CIF:
```
data_PAuBr2
_symmetry_space_group_name_H-M 'R -3 m'
_symmetry_Int_Tables_number 166
_symmetry_space_group_name_Hall '-R 3 2"'
_cell_length_a 4.1752
_cell_length_b 4.1752
_cell_length_c 18.5228
_cell_angle_alpha 90.00
_cell_angle_beta 90.00
_cell_angle_gamma 120.00
loop_
_atom_site_label
_atom_site_type_symbol
_atom_site_fract_x
_atom_site_fract_y
_atom_site_fract_z
_atom_site_occupancy
P1 P 0.0000 0.0000 0.0000 1
Au1 Au 0.0000 0.0000 0.5000 1
Br1 Br 0.0000 0.0000 0.2560 1
```

Calculated values
Crystal system: trigonal


It is 3 that is the most stable of them.